! PBE CaGaBi2, optimized geometry; values from VASP
&SYSTEM
  ibrav = 0, nat = 8, ntyp = 3
/
ATOMIC_SPECIES
Ca 40.08 Ca.upf
Ga 69.72 Ga.upf
Bi 208.98 Bi.upf
CELL_PARAMETERS angstrom
4.812 0.000 0.000
0.000 4.812 0.000
0.000 0.000 9.818
ATOMIC_POSITIONS angstrom
Ca 1.203 1.203 2.408
Ca 3.609 3.609 7.410
Ga 1.203 3.609 0.000
Ga 3.609 1.203 0.000
Bi 1.203 1.203 7.889
Bi 1.203 3.609 4.909
Bi 3.609 1.203 4.909
Bi 3.609 3.609 1.929
! - space-group type = No. 129
! - E_form (eV/f.u.) = -1.4
! - total magnetic moment (μB/atom) = 0.0000